(1)
This record from Alexandria describes CrTeBr2 after structural relaxation. The functional is PBE-GGA.

Cell lengths 3.257, 3.257, 11.786 Å; angles 90.00, 90.00, 90.00 degrees
Last column: magnetic moment on the atom in μB.
Sites, in units of the cell vectors:
Br (0.000, 0.000, 0.112)  -0.05
Br (0.000, 0.000, 0.388)  -0.05
Cr (0.500, 0.500, 0.250)  3.71
Te (0.500, 0.500, 0.750)  -0.01

Results
Symmetry ... No. 123
Mass density ... 4.508 Mg/m³
Crystal system ... tetragonal
Energy above the most stable polymorph in this dataset ... 280 meV/atom
Size of the total moment ... 4.0 μB per formula unit

---

(2)
This record from Alexandria describes Np4U3S8 after structural relaxation. The functional is PBE-GGA.

Cell lengths 7.784, 7.737, 7.737 Å; angles 89.89, 120.17, 120.17 degrees
Last column: magnetic moment on the atom in μB.
Sites, in units of the cell vectors:
Np (0.500, 0.000, 0.000)  -3.65
Np (0.000, 0.500, 0.000)  3.68
Np (0.000, 0.000, 0.000)  3.73
Np (0.000, 0.000, 0.500)  3.68
U (0.500, 0.500, 0.000)  -1.88
U (0.500, 0.000, 0.500)  -1.88
U (0.500, 0.500, 0.500)  2.07
S (0.511, 0.255, 0.255)  0.03
S (0.000, 0.746, 0.254)  -0.03
S (0.005, 0.255, 0.255)  -0.07
S (0.500, 0.750, 0.250)  0.00
S (0.500, 0.250, 0.750)  0.00
S (0.995, 0.745, 0.745)  -0.07
S (0.000, 0.254, 0.746)  -0.03
S (0.489, 0.745, 0.745)  0.03

Results
Symmetry ... No. 12
Mass density ... 9.711 Mg/m³
Crystal system ... monoclinic
Size of the total moment ... 6.1 μB per formula unit
E_tot ... -9.253 eV per atom

---

(3)
This record from Alexandria describes Dy3Er4Tm8 after structural relaxation. The functional is PBE-GGA.

Cell lengths 6.823, 6.823, 12.222 Å; angles 73.79, 73.79, 60.00 degrees
Sites, in units of the cell vectors:
Dy (0.500, 0.000, 0.500)
Dy (0.000, 0.000, 0.500)
Dy (0.000, 0.500, 0.500)
Er (0.000, 0.000, 0.000)
Er (0.336, 0.336, 0.991)
Er (0.500, 0.500, 0.500)
Er (0.664, 0.664, 0.009)
Tm (0.245, 0.245, 0.265)
Tm (0.248, 0.751, 0.251)
Tm (0.751, 0.751, 0.251)
Tm (0.751, 0.248, 0.251)
Tm (0.755, 0.755, 0.735)
Tm (0.752, 0.249, 0.749)
Tm (0.249, 0.249, 0.749)
Tm (0.249, 0.752, 0.749)

Results
Symmetry ... No. 166
Mass density ... 8.929 Mg/m³
DFT formation energy ... 2.27 eV per formula unit
Crystal system ... trigonal
Energy above the most stable polymorph in this dataset ... 0 meV/atom
Size of the total moment ... 0.0 μB per formula unit

---

(4)
This record from Alexandria describes AgAsSe2 after structural relaxation. The functional is PBE-GGA.

Cell lengths 6.236, 6.236, 2.926 Å; angles 61.01, 61.01, 76.50 degrees
Sites, in units of the cell vectors:
As (0.000, 0.500, 0.500)
Se (0.000, 0.000, 0.000)
Se (0.500, 0.500, 0.000)
Ag (0.500, 0.000, 0.500)

Results
Symmetry ... No. 12
Mass density ... 6.496 Mg/m³
Crystal system ... monoclinic
Size of the total moment ... 0.0 μB per formula unit
E_tot ... -3.547 eV per atom

---

(5)
This record from Alexandria describes MnAlW4 after structural relaxation. The functional is PBE-GGA.

Cell lengths 5.245, 5.245, 5.245 Å; angles 60.00, 60.00, 60.00 degrees
Last column: magnetic moment on the atom in μB.
Sites, in units of the cell vectors:
Mn (0.000, 0.000, 0.000)  3.01
Al (0.750, 0.750, 0.750)  -0.01
W (0.874, 0.375, 0.375)  -0.14
W (0.375, 0.375, 0.874)  -0.14
W (0.375, 0.874, 0.375)  -0.14
W (0.375, 0.375, 0.375)  -0.14

Results
Symmetry ... No. 216
Mass density ... 13.300 Mg/m³
DFT formation energy ... 3.11 eV per formula unit
Crystal system ... cubic
Size of the total moment ... 2.3 μB per formula unit

---

(6)
This record from Alexandria describes Pr3InS after structural relaxation. The functional is PBE-GGA.

Cell lengths 4.130, 9.352, 15.679 Å; angles 90.00, 90.00, 90.00 degrees
Last column: magnetic moment on the atom in μB.
Sites, in units of the cell vectors:
Pr (0.250, 0.338, 0.514)  0.02
Pr (0.750, 0.803, 0.211)  0.07
Pr (0.750, 0.526, 0.891)  0.10
Pr (0.750, 0.026, 0.609)  0.10
Pr (0.750, 0.662, 0.486)  0.02
Pr (0.250, 0.974, 0.391)  0.10
Pr (0.250, 0.838, 0.986)  0.02
Pr (0.750, 0.303, 0.289)  0.07
Pr (0.250, 0.697, 0.711)  0.07
Pr (0.250, 0.197, 0.789)  0.07
Pr (0.750, 0.162, 0.014)  0.02
Pr (0.250, 0.474, 0.109)  0.10
In (0.750, 0.916, 0.823)  -0.01
In (0.250, 0.084, 0.177)  -0.01
In (0.750, 0.416, 0.677)  -0.01
In (0.250, 0.584, 0.323)  -0.01
S (0.250, 0.337, 0.946)  0.00
S (0.250, 0.837, 0.554)  0.00
S (0.750, 0.163, 0.446)  0.00
S (0.750, 0.663, 0.054)  0.00

Results
Symmetry ... No. 62
Mass density ... 6.247 Mg/m³
Crystal system ... orthorhombic
Energy above the most stable polymorph in this dataset ... 0 meV/atom
Size of the total moment ... 0.5 μB per formula unit

---

(7)
This record from Alexandria describes NaTlPt after structural relaxation. The functional is PBE-GGA.

Cell lengths 6.814, 6.638, 6.063 Å; angles 90.00, 90.00, 90.00 degrees
Sites, in units of the cell vectors:
Na (0.309, 0.826, 0.000)
Na (0.809, 0.674, 0.500)
Na (0.691, 0.174, 0.000)
Na (0.191, 0.326, 0.500)
Tl (0.173, 0.312, 0.000)
Tl (0.827, 0.688, 0.000)
Tl (0.327, 0.812, 0.500)
Tl (0.673, 0.188, 0.500)
Pt (0.500, 0.500, 0.231)
Pt (0.500, 0.500, 0.769)
Pt (0.000, 0.000, 0.731)
Pt (0.000, 0.000, 0.269)

Results
Symmetry ... No. 58
Mass density ... 10.231 Mg/m³
DFT formation energy ... -0.46 eV per formula unit
Crystal system ... orthorhombic
Size of the total moment ... 0.0 μB per formula unit

---

(8)
This record from Alexandria describes EuBiF after structural relaxation. The functional is PBE-GGA.

Cell lengths 5.801, 4.000, 4.000 Å; angles 120.00, 90.00, 90.00 degrees
Last column: magnetic moment on the atom in μB.
Sites, in units of the cell vectors:
Eu (0.166, 0.000, 0.000)  6.73
Bi (0.667, 0.667, 0.333)  -0.02
F (0.167, 0.333, 0.667)  -0.02

Results
Symmetry ... No. 156
Mass density ... 7.850 Mg/m³
Crystal system ... trigonal
Energy above the most stable polymorph in this dataset ... 0 meV/atom
Size of the total moment ... 6.8 μB per formula unit

---

(9)
This record from Alexandria describes MnB2Mo after structural relaxation. The functional is PBE-GGA.

Cell lengths 3.101, 3.019, 4.357 Å; angles 90.00, 110.83, 90.00 degrees
Last column: magnetic moment on the atom in μB.
Sites, in units of the cell vectors:
Mn (0.444, 0.500, 0.428)  2.09
B (0.140, 0.500, 0.819)  -0.01
B (0.016, 0.000, 0.570)  -0.04
Mo (0.731, 0.000, 0.001)  -0.02

Results
Symmetry ... No. 38
Mass density ... 7.513 Mg/m³
DFT formation energy ... -1.84 eV per formula unit
Crystal system ... orthorhombic
Energy above the most stable polymorph in this dataset ... 0 meV/atom
Size of the total moment ... 2.0 μB per formula unit

---

(10)
This record from Alexandria describes KCaAcF6 after structural relaxation. The functional is PBE-GGA.

Cell lengths 8.156, 7.689, 7.984 Å; angles 118.79, 120.71, 90.00 degrees
Sites, in units of the cell vectors:
K (0.867, 0.617, 0.733)
K (0.133, 0.383, 0.267)
Ca (0.500, 0.500, 0.000)
Ca (0.500, 0.000, 0.000)
Ac (0.500, 0.000, 0.500)
Ac (0.000, 0.000, 0.500)
F (0.606, 0.856, 0.211)
F (0.871, 0.121, 0.742)
F (0.838, 0.154, 0.263)
F (0.424, 0.609, 0.263)
F (0.424, 0.154, 0.263)
F (0.838, 0.609, 0.263)
F (0.394, 0.144, 0.789)
F (0.129, 0.879, 0.258)
F (0.162, 0.846, 0.737)
F (0.576, 0.391, 0.737)
F (0.576, 0.846, 0.737)
F (0.162, 0.391, 0.737)

Results
Symmetry ... No. 74
Mass density ... 3.914 Mg/m³
Crystal system ... orthorhombic
Size of the total moment ... 0.0 μB per formula unit
E_tot ... -5.751 eV per atom

---

(11)
This record from Alexandria describes Mn2GaBSe after structural relaxation. The functional is PBE-GGA.

Cell lengths 3.161, 3.161, 8.232 Å; angles 79.00, 79.01, 59.96 degrees
Last column: magnetic moment on the atom in μB.
Sites, in units of the cell vectors:
B (0.027, 0.153, 0.756)  -0.18
Mn (0.404, 0.531, 0.621)  2.29
Mn (0.654, 0.780, 0.876)  2.04
Ga (0.913, 0.040, 0.099)  -0.03
Se (0.804, 0.931, 0.420)  -0.11

Results
Symmetry ... No. 8
Mass density ... 6.439 Mg/m³
Crystal system ... monoclinic
Energy above the most stable polymorph in this dataset ... 0 meV/atom
Size of the total moment ... 4.0 μB per formula unit

---

(12)
This record from Alexandria describes La2OsWCl after structural relaxation. The functional is PBE-GGA.

Cell lengths 5.789, 4.748, 5.789 Å; angles 90.00, 90.00, 90.00 degrees
Last column: magnetic moment on the atom in μB.
Sites, in units of the cell vectors:
Cl (0.500, 0.500, 0.500)  0.03
Os (0.000, 0.000, 0.000)  -0.04
W (0.000, 0.500, 0.000)  1.30
La (0.000, 0.000, 0.500)  0.02
La (0.500, 0.000, 0.000)  0.02

Results
Symmetry ... No. 123
Mass density ... 7.173 Mg/m³
Crystal system ... tetragonal
Size of the total moment ... 1.8 μB per formula unit
E_tot ... -6.971 eV per atom